Entry 1:
This record from Alexandria via LeMat-Bulk describes an optimized crystal structure of PmNd2ReN4. The functional is PBE.

The structure in POSCAR format:
```
PmNd2ReN4
1.0
1.762 -6.028 0.000
1.762 6.028 0.000
0.000 0.000 12.100
Pm Nd Re N
2 4 2 8
direct
0.122 0.878 0.750
0.878 0.122 0.250
0.368 0.632 0.539
0.368 0.632 0.961
0.632 0.368 0.039
0.632 0.368 0.461
0.147 0.853 0.250
0.853 0.147 0.750
0.000 0.000 0.000
0.000 0.000 0.500
0.269 0.731 0.137
0.269 0.731 0.363
0.430 0.570 0.750
0.570 0.430 0.250
0.731 0.269 0.637
0.731 0.269 0.863
```

Calculated values
Energy: -133.8 eV per cell
E_form (uncorrected): -0.861 eV/atom
Crystal system: orthorhombic
Theoretical density: 8730 kg/m3

Entry 2:
This record from Alexandria via LeMat-Bulk describes an optimized crystal structure of BiPSO2. The functional is PBE.

The structure in POSCAR format:
```
BiPSO2
1.0
4.026 0.000 0.000
0.000 4.026 0.000
0.000 0.000 6.145
Bi P S O
1 1 1 2
direct
0.000 0.000 0.000
0.000 0.000 0.500
0.500 0.500 0.500
0.000 0.500 0.000
0.500 0.000 0.000
```

Calculated values
Energy: -21.8 eV per cell
E_form (uncorrected): 0.302 eV/atom
Crystal system: tetragonal
Theoretical density: 5068 kg/m3

Look up the E_form (uncorrected) of the second one. 0.302 eV/atom